ZrInSi after structural relaxation, computed with PBE.

abc: 3.135 3.708 10.473
angles: 90.00 90.00 90.00
Element x y z (fractional)
Zr: 0.000 0.000 0.000
Zr: 0.500 0.500 0.500
In: 0.000 0.000 0.699
In: 0.500 0.500 0.199
Si: 0.000 0.000 0.367
Si: 0.500 0.500 0.867

**Raw formation energy**: -136 meV per atom
**Total magnetization**: 0.00 μB per formula unit
**D(E_F)**: 0.809 states/eV per atom
**ΔE to the lowest computed polymorph**: 4.52 kcal/mol of atoms